First-principles (PBE with a Hubbard U) data for a relaxed structure of PmMo2O6, as listed in the Alexandria database.

Geometry as POSCAR:
```
PmMo2O6
1.0
-0.4388 4.6695 -1.9361
-0.7414 -2.0778 -4.8433
-4.1759 0.9212 3.1682
Pm Mo O
1 2 6
Cartesian
0.0000 0.0000 0.0000
-2.1056 1.2566 -3.1408
-3.2505 2.2563 -0.4704
-3.4573 2.6285 -2.4661
-4.7718 0.8963 -0.4654
-3.5311 -0.1872 -3.3596
-0.5843 2.6167 -3.1459
-1.8988 0.8844 -1.1451
-1.8250 3.7001 -0.2517
```

E_tot, eV per atom: -7.54
Calculated volume, Å³/atom: 13.83
Total magnetic moment, μB per cell: 3.00